Computed, not measured: a relaxed structure of In2AsCl at the PBE level of DFT.

Uncorrected formation energy in eV per atom: -0.249
Density of states at the Fermi level in states/eV/cell: 0.96
Symmetry: Fm-3m, No. 225
E above lowest polymorph in meV/atom: 128

Geometry as POSCAR:
```
In2AsCl
1.0
0.000 3.618 3.618
3.618 0.000 3.618
3.618 3.618 0.000
In As Cl
2 1 1
Direct
0.250 0.250 0.250
0.750 0.750 0.750
0.000 0.000 0.000
0.500 0.500 0.500
```


Computed, not measured: a relaxed structure of PaSi2Hg at the PBE level of DFT.

Uncorrected formation energy in eV per atom: -0.176
Density of states at the Fermi level in states/eV/cell: 3.06
Symmetry: P4/mmm, No. 123

Geometry as POSCAR:
```
PaSi2Hg
1.0
4.491 0.000 0.000
0.000 4.491 0.000
0.000 0.000 3.953
Pa Si Hg
1 2 1
Direct
0.000 0.000 0.000
0.000 0.500 0.500
0.500 0.000 0.500
0.500 0.500 0.000
```


Computed, not measured: a relaxed structure of TiZnAs3 at the PBE level of DFT.

Density of states at the Fermi level in states/eV/cell: 5.52
Symmetry: Pm-3m, No. 221
Energy relative to the elements in kcal/mol of atoms: 16.64
E above lowest polymorph in meV/atom: 527

Geometry as POSCAR:
```
TiZnAs3
1.0
4.761 0.000 0.000
0.000 4.761 0.000
0.000 0.000 4.761
Ti Zn As
1 1 3
Direct
0.000 0.000 0.000
0.500 0.500 0.500
0.000 0.500 0.500
0.500 0.000 0.500
0.500 0.500 0.000
```


| no. | E_tot (eV/f.u.) |
| --- | --- |
| 1 | -13.0 |
| 2 | -21.3 |
| 3 | -19.5 |